Below is a relaxed Ca2MoW crystal, with properties calculated at the PBEsol level.

The structure in extended XYZ format:
```
4
Lattice="3.306 0.000 0.000 0.000 3.306 0.000 0.000 0.000 8.817" Properties=species:S:1:pos:R:3 pbc="T T T"
Ca 0.000 0.000 0.000
Ca 1.653 1.653 3.321
Mo 0.000 0.000 5.490
W 1.653 1.653 6.621
```

Results
* N(E_F): 1.1154 states/eV/atom
* DFT total energy: -6.998 eV/atom
* formation energy from the elements: 0.46 eV/atom
* M_tot: 0.00 Bohr magnetons per cell
* calculated density: 6.20 Mg/m³

Below is a relaxed CaMo2W crystal, with properties calculated at the PBEsol level.

The structure in extended XYZ format:
```
4
Lattice="3.130 0.000 0.000 0.000 3.130 0.000 0.000 0.000 7.551" Properties=species:S:1:pos:R:3 pbc="T T T"
Ca 0.000 0.000 0.000
Mo 0.000 0.000 3.770
Mo 1.565 1.565 2.314
W 1.565 1.565 5.248
```

Results
* N(E_F): 1.2950 states/eV/atom
* DFT total energy: -9.235 eV/atom
* formation energy from the elements: 0.63 eV/atom
* M_tot: 0.00 Bohr magnetons per cell
* calculated density: 9.33 Mg/m³

Below is a relaxed Ca2MoW crystal, with properties calculated at the PBEsol level.

The structure in extended XYZ format:
```
4
Lattice="-1.952 1.952 5.155 1.952 -1.952 5.155 1.952 1.952 -5.155" Properties=species:S:1:pos:R:3 pbc="T T T"
Ca 1.952 0.000 2.578
Ca 0.000 1.952 2.578
Mo 0.000 0.000 0.000
W 0.000 0.000 5.155
```

Results
* N(E_F): 0.6413 states/eV/atom
* DFT total energy: -6.536 eV/atom
* formation energy from the elements: 0.92 eV/atom
* M_tot: 0.00 Bohr magnetons per cell
* calculated density: 7.61 Mg/m³